(i)
First-principles (PBE-GGA) data for crystalline Dy3Y2Tm3 at its relaxed geometry, as listed in Alexandria via LeMat-Bulk.

Cell lengths 10.597, 10.597, 10.597 Å; angles 152.78, 152.76, 38.89 degrees
Atoms (fractional coordinates):
Dy (0.000, 0.000, 0.000)
Dy (0.377, 0.877, 0.500)
Dy (0.623, 0.123, 0.500)
Y (0.250, 0.250, 0.000)
Y (0.750, 0.750, 0.000)
Tm (0.124, 0.624, 0.500)
Tm (0.500, 0.500, 0.000)
Tm (0.876, 0.376, 0.500)

The value obtained for the density of states at the Fermi level is 11.304 states/eV/f.u. The value obtained for the theoretical density is 7.8 Mg/m³. For the volume, the calculation gives 31.089 Å³ per atom. As for the magnetization: 0.00 μB per formula unit.

=====

(ii)
First-principles (PBE-GGA) data for crystalline Dy3Y2Tm3 at its relaxed geometry, as listed in Alexandria via LeMat-Bulk.

Cell lengths 5.596, 14.442, 6.245 Å; angles 90.00, 90.06, 90.00 degrees
Atoms (fractional coordinates):
Dy (0.250, 0.125, 0.170)
Dy (0.250, 0.375, 0.170)
Dy (0.250, 0.750, 0.663)
Dy (0.750, 0.250, 0.337)
Dy (0.750, 0.625, 0.830)
Dy (0.750, 0.875, 0.830)
Y (0.250, 0.624, 0.165)
Y (0.250, 0.876, 0.165)
Y (0.750, 0.124, 0.835)
Y (0.750, 0.376, 0.835)
Tm (0.250, 0.000, 0.665)
Tm (0.250, 0.250, 0.667)
Tm (0.250, 0.500, 0.665)
Tm (0.750, 0.000, 0.335)
Tm (0.750, 0.500, 0.335)
Tm (0.750, 0.750, 0.333)

The value obtained for the density of states at the Fermi level is 14.664 states/eV/f.u. The value obtained for the theoretical density is 7.7 Mg/m³. For the volume, the calculation gives 31.546 Å³ per atom. As for the magnetization: 0.00 μB per formula unit.

=====

Top of the stability list: (ii), leading by 21 meV/atom.

=====

(i)
First-principles (PBE-GGA) data for crystalline Dy5Y4Tm2 at its relaxed geometry, as listed in Alexandria via LeMat-Bulk.

Cell lengths 6.593, 6.593, 9.231 Å; angles 104.46, 104.46, 66.83 degrees
Atoms (fractional coordinates):
Dy (0.000, 0.000, 0.000)
Dy (0.210, 0.655, 0.722)
Dy (0.345, 0.790, 0.278)
Dy (0.655, 0.210, 0.722)
Dy (0.790, 0.345, 0.278)
Y (0.315, 0.315, 0.998)
Y (0.330, 0.330, 0.378)
Y (0.670, 0.670, 0.622)
Y (0.685, 0.685, 0.002)
Tm (0.146, 0.146, 0.618)
Tm (0.854, 0.854, 0.382)

The value obtained for the density of states at the Fermi level is 19.375 states/eV/f.u. The value obtained for the theoretical density is 7.1 Mg/m³. For the volume, the calculation gives 31.997 Å³ per atom. As for the magnetization: 0.00 μB per formula unit.

=====

(ii)
First-principles (PBE-GGA) data for crystalline Dy5Y4Tm2 at its relaxed geometry, as listed in Alexandria via LeMat-Bulk.

Cell lengths 12.554, 12.554, 12.554 Å; angles 163.98, 137.99, 45.24 degrees
Atoms (fractional coordinates):
Dy (0.000, 0.000, 0.000)
Dy (0.053, 0.354, 0.699)
Dy (0.345, 0.646, 0.699)
Dy (0.655, 0.354, 0.301)
Dy (0.947, 0.646, 0.301)
Y (0.308, 0.500, 0.808)
Y (0.402, 0.902, 0.500)
Y (0.598, 0.098, 0.500)
Y (0.692, 0.500, 0.192)
Tm (0.269, 0.769, 0.500)
Tm (0.731, 0.231, 0.500)

The value obtained for the density of states at the Fermi level is 17.775 states/eV/f.u. The value obtained for the theoretical density is 6.9 Mg/m³. For the volume, the calculation gives 33.182 Å³ per atom. As for the magnetization: 0.00 μB per formula unit.

=====

Top of the stability list: (i), leading by 134 meV/atom.

=====

(i)
First-principles (PBE-GGA) data for crystalline DyY3Tm3 at its relaxed geometry, as listed in Alexandria via LeMat-Bulk.

Cell lengths 14.511, 14.511, 14.511 Å; angles 24.41, 24.41, 24.41 degrees
Atoms (fractional coordinates):
Dy (0.167, 0.167, 0.167)
Dy (0.833, 0.833, 0.833)
Y (0.099, 0.433, 0.767)
Y (0.233, 0.901, 0.567)
Y (0.433, 0.767, 0.099)
Y (0.567, 0.233, 0.901)
Y (0.767, 0.099, 0.433)
Y (0.901, 0.567, 0.233)
Tm (0.035, 0.698, 0.366)
Tm (0.302, 0.634, 0.965)
Tm (0.366, 0.035, 0.698)
Tm (0.634, 0.965, 0.302)
Tm (0.698, 0.366, 0.035)
Tm (0.965, 0.302, 0.634)

The value obtained for the density of states at the Fermi level is 10.287 states/eV/f.u. The value obtained for the theoretical density is 6.8 Mg/m³. For the volume, the calculation gives 32.772 Å³ per atom. As for the magnetization: 0.00 μB per formula unit.

=====

(ii)
First-principles (PBE-GGA) data for crystalline DyY3Tm3 at its relaxed geometry, as listed in Alexandria via LeMat-Bulk.

Cell lengths 9.541, 9.541, 5.607 Å; angles 90.00, 90.00, 120.00 degrees
Atoms (fractional coordinates):
Dy (0.333, 0.667, 0.250)
Dy (0.667, 0.333, 0.750)
Y (0.049, 0.240, 0.250)
Y (0.192, 0.951, 0.250)
Y (0.240, 0.192, 0.750)
Y (0.760, 0.808, 0.250)
Y (0.808, 0.049, 0.750)
Y (0.951, 0.760, 0.750)
Tm (0.096, 0.479, 0.750)
Tm (0.383, 0.904, 0.750)
Tm (0.479, 0.383, 0.250)
Tm (0.521, 0.617, 0.750)
Tm (0.617, 0.096, 0.250)
Tm (0.904, 0.521, 0.250)

The value obtained for the density of states at the Fermi level is 14.553 states/eV/f.u. The value obtained for the theoretical density is 7.0 Mg/m³. For the volume, the calculation gives 31.573 Å³ per atom. As for the magnetization: 0.00 μB per formula unit.

=====

Top of the stability list: (ii), leading by 138 meV/atom.